Below is crystalline LiAl2Ga3 at its relaxed geometry, with properties calculated at the PBE level.

Cell: 5.806 5.047 7.510 Å, 91.15 112.74 90.00°
Fractional coordinates of all 12 atoms:
Li: 0.874 0.250 0.000
Li: 0.126 0.750 0.000
Al: 0.457 0.409 0.663
Al: 0.206 0.909 0.663
Al: 0.794 0.091 0.337
Al: 0.543 0.591 0.337
Ga: 0.623 0.750 0.000
Ga: 0.377 0.250 0.000
Ga: 0.712 0.916 0.673
Ga: 0.039 0.584 0.327
Ga: 0.961 0.416 0.673
Ga: 0.288 0.084 0.327

## Properties
- distance to the lowest polymorph of the same formula (meV per atom) = 0
- space-group type = C2/c, No. 15
- E_tot (eV per atom) = -3.1593
- DOS(E_F) (states/eV per cell) = 4.45
- total magnetization (μB/cell) = 0.00